[1]
{"formula": "Sr3TaSe", "functional": "PBE", "state": "relaxed", "raw_formation_energy_ev_per_atom": 0.205, "dft_energy_ev_per_atom": -3.87, "polymorph_energy_ev_per_atom": 0.000, "cell": [[5.8560, 0.0000, 0.0000], [0.0000, 5.8560, 0.0000], [0.0000, 0.0000, 5.8560]], "species": ["Sr", "Sr", "Sr", "Ta", "Se"], "frac_coords": [[0.0000, 0.0000, 0.5000], [0.0000, 0.5000, 0.0000], [0.5000, 0.0000, 0.0000], [0.5000, 0.5000, 0.5000], [0.0000, 0.0000, 0.0000]]}

[2]
{"formula": "Rb2IrOs", "functional": "PBE", "state": "relaxed", "ef_mev_per_atom": 1209, "dft_energy_ev_per_atom": -4.30, "polymorph_energy_ev_per_atom": 0.000, "cell": [[-6.3601, 6.3601, 2.3576], [6.3601, -6.3601, 2.3576], [6.3601, 6.3601, -2.3576]], "species": ["Rb", "Rb", "Rb", "Rb", "Ir", "Ir", "Os", "Os"], "frac_coords": [[0.3750, 0.1883, 0.3133], [0.8117, 0.1250, 0.1867], [0.8750, 0.0617, 0.6867], [0.9383, 0.6250, 0.8133], [0.0000, 0.0000, 0.0000], [0.7500, 0.2500, 0.5000], [0.2500, 0.7500, 0.5000], [0.5000, 0.5000, 0.0000]]}

[3]
{"formula": "ZrCoOs2", "functional": "PBE", "state": "relaxed", "ef_mev_per_atom": 164, "dft_energy_ev_per_atom": -9.36, "polymorph_energy_ev_per_atom": 0.199, "cell": [[2.7539, -3.7766, 0.0000], [2.7539, 3.7766, 0.0000], [0.0000, 0.0000, 2.9243]], "species": ["Zr", "Co", "Os", "Os"], "frac_coords": [[0.0000, 0.0000, 0.0000], [0.5000, 0.5000, 0.0000], [0.0000, 0.5000, 0.5000], [0.5000, 0.0000, 0.5000]]}

[4]
{"formula": "Hf3Zr2Co", "functional": "PBE", "state": "relaxed", "ef_mev_per_atom": 324, "dft_energy_ev_per_atom": -8.69, "cell": [[2.5797, -8.3657, 0.0000], [2.5797, 8.3657, 0.0000], [0.0000, 0.0000, 3.0447]], "species": ["Hf", "Hf", "Hf", "Zr", "Zr", "Co"], "frac_coords": [[0.0000, 0.0000, 0.0000], [0.3851, 0.6149, 0.5000], [0.6149, 0.3851, 0.5000], [0.2044, 0.7956, 0.5000], [0.7956, 0.2044, 0.5000], [0.5000, 0.5000, 0.0000]]}

- Which formula does entry 3 have?
  ZrCoOs2